Record 1
LaTb2Pm6Pr: optimized geometry, PBE.

Calculated values
The value obtained for the total DFT energy (no corrections) is -92.7 eV for the cell shown. As for the formation energy: 110 kJ/mol of formula units. Its space group is No. 15.

Cell lengths 9.8259, 8.9859, 8.9859 Å; angles 117.57, 93.94, 93.94 degrees
With the nearest neighbours (Å) after each atom.
Element x y z (fractional)
Pm: 0.6204 0.4889 0.7047  3 Pm 3.28-3.45, 3 Tb 3.37-3.52, 2 La 3.52-3.64
Pm: 0.3201 0.9781 0.4338  2 Pm 3.28-3.59, 1 Tb 3.52, 1 La 3.56, 1 Pr 3.62
Pm: 0.8796 0.2953 0.5111  3 Pm 3.28-3.45, 3 Tb 3.37-3.52, 2 La 3.52-3.64
Pm: 0.1799 0.5662 0.0219  2 Pm 3.28-3.59, 1 Tb 3.52, 1 La 3.56, 1 Pr 3.62
Pm: 0.4434 0.2455 0.8876  7 Pm 3.45-3.84, 1 Tb 3.53, 1 Pr 3.74
Pm: 0.5566 0.7545 0.1124  7 Pm 3.45-3.84, 1 Tb 3.53, 1 Pr 3.74
Pm: 0.3796 0.5111 0.2953  3 Pm 3.28-3.45, 3 Tb 3.37-3.52, 2 La 3.52-3.64
Pm: 0.0566 0.1124 0.7545  7 Pm 3.45-3.84, 1 Tb 3.53, 1 Pr 3.74
Pm: 0.8201 0.4338 0.9781  2 Pm 3.28-3.59, 1 Tb 3.52, 1 La 3.56, 1 Pr 3.62
Pm: 0.9434 0.8876 0.2455  7 Pm 3.45-3.84, 1 Tb 3.53, 1 Pr 3.74
Pm: 0.1204 0.7047 0.4889  3 Pm 3.28-3.45, 3 Tb 3.37-3.52, 2 La 3.52-3.64
Pm: 0.6799 0.0219 0.5662  2 Pm 3.28-3.59, 1 Tb 3.52, 1 La 3.56, 1 Pr 3.62
Tb: 0.4536 0.8045 0.7053  6 Pm 3.37-3.67, 2 Pr 3.45-3.47, 1 La 3.64
Tb: 0.9536 0.7053 0.8045  6 Pm 3.37-3.67, 2 Pr 3.45-3.47, 1 La 3.64
Tb: 0.5464 0.1955 0.2947  6 Pm 3.37-3.67, 2 Pr 3.45-3.47, 1 La 3.64
Tb: 0.0464 0.2947 0.1955  6 Pm 3.37-3.67, 2 Pr 3.45-3.47, 1 La 3.64
La: 0.7500 0.5944 0.4056  6 Pm 3.52-3.64, 2 Tb 3.64
La: 0.2500 0.4056 0.5944  6 Pm 3.52-3.64, 2 Tb 3.64
Pr: 0.7500 0.0298 0.9702  4 Tb 3.45-3.47, 4 Pm 3.62-3.74
Pr: 0.2500 0.9702 0.0298  4 Tb 3.45-3.47, 4 Pm 3.62-3.74

Record 2
La2Tb6PmPr3: optimized geometry, PBE.

Calculated values
The value obtained for the total DFT energy (no corrections) is -56.6 eV for the cell shown. As for the formation energy: 13 kJ/mol of formula units. Its space group is No. 12.

Cell lengths 6.3268, 6.3268, 11.9416 Å; angles 95.05, 95.05, 120.01 degrees
With the nearest neighbours (Å) after each atom.
Element x y z (fractional)
La: 0.3335 0.6665 0.0000  6 Tb 3.62, 3 La 3.65, 3 Pm 3.65
La: 0.6665 0.3335 0.0000  6 Tb 3.62, 3 La 3.65, 3 Pm 3.65
Tb: 0.2492 0.2492 0.7496  3 Pr 3.61, 1 Pm 3.62, 2 La 3.62, 6 Tb 3.65-3.66
Tb: 0.5839 0.9166 0.7497  3 Pr 3.61-3.62, 1 Pm 3.62, 2 La 3.62, 6 Tb 3.65-3.66
Tb: 0.0834 0.4161 0.2503  3 Pr 3.61-3.62, 1 Pm 3.62, 2 La 3.62, 6 Tb 3.65-3.66
Tb: 0.9166 0.5839 0.7497  3 Pr 3.61-3.62, 1 Pm 3.62, 2 La 3.62, 6 Tb 3.65-3.66
Tb: 0.7508 0.7508 0.2504  3 Pr 3.61, 1 Pm 3.62, 2 La 3.62, 6 Tb 3.65-3.66
Tb: 0.4161 0.0834 0.2503  3 Pr 3.61-3.62, 1 Pm 3.62, 2 La 3.62, 6 Tb 3.65-3.66
Pr: 0.5000 0.5000 0.5000  6 Tb 3.61, 6 Pr 3.65-3.66
Pr: 0.8335 0.1665 0.5000  6 Tb 3.61-3.62, 6 Pr 3.65-3.66
Pr: 0.1665 0.8335 0.5000  6 Tb 3.61-3.62, 6 Pr 3.65-3.66
Pm: 0.0000 0.0000 0.0000  6 Tb 3.62, 6 La 3.65

Repeat the second record exactly.
La2Tb6PmPr3: optimized geometry, PBE.

Calculated values
The value obtained for the total DFT energy (no corrections) is -56.6 eV for the cell shown. As for the formation energy: 13 kJ/mol of formula units. Its space group is No. 12.

Cell lengths 6.3268, 6.3268, 11.9416 Å; angles 95.05, 95.05, 120.01 degrees
With the nearest neighbours (Å) after each atom.
Element x y z (fractional)
La: 0.3335 0.6665 0.0000  6 Tb 3.62, 3 La 3.65, 3 Pm 3.65
La: 0.6665 0.3335 0.0000  6 Tb 3.62, 3 La 3.65, 3 Pm 3.65
Tb: 0.2492 0.2492 0.7496  3 Pr 3.61, 1 Pm 3.62, 2 La 3.62, 6 Tb 3.65-3.66
Tb: 0.5839 0.9166 0.7497  3 Pr 3.61-3.62, 1 Pm 3.62, 2 La 3.62, 6 Tb 3.65-3.66
Tb: 0.0834 0.4161 0.2503  3 Pr 3.61-3.62, 1 Pm 3.62, 2 La 3.62, 6 Tb 3.65-3.66
Tb: 0.9166 0.5839 0.7497  3 Pr 3.61-3.62, 1 Pm 3.62, 2 La 3.62, 6 Tb 3.65-3.66
Tb: 0.7508 0.7508 0.2504  3 Pr 3.61, 1 Pm 3.62, 2 La 3.62, 6 Tb 3.65-3.66
Tb: 0.4161 0.0834 0.2503  3 Pr 3.61-3.62, 1 Pm 3.62, 2 La 3.62, 6 Tb 3.65-3.66
Pr: 0.5000 0.5000 0.5000  6 Tb 3.61, 6 Pr 3.65-3.66
Pr: 0.8335 0.1665 0.5000  6 Tb 3.61-3.62, 6 Pr 3.65-3.66
Pr: 0.1665 0.8335 0.5000  6 Tb 3.61-3.62, 6 Pr 3.65-3.66
Pm: 0.0000 0.0000 0.0000  6 Tb 3.62, 6 La 3.65